The following is a PBE calculation of an optimized crystal structure of Cu5Ag3S3, from the Alexandria database.

a = 7.2367 Å, b = 7.2367 Å, c = 4.5057 Å
α = 90.00°, β = 90.00°, γ = 120.00°
Last column: nearest neighbours and their distance in Å.
Atoms (fractional coordinates):
Cu  0.0000  0.3046  0.0000  2 S 2.23
Cu  0.3046  0.0000  0.0000  2 S 2.23
Cu  0.3333  0.6667  0.0000  3 S 2.49, 3 Cu 2.52
Cu  0.6667  0.3333  0.0000  3 S 2.49, 3 Cu 2.52
Cu  0.6954  0.6954  0.0000  2 S 2.23
Ag  0.0000  0.5178  0.5000  2 S 2.57, 2 Cu 2.73
Ag  0.4822  0.4822  0.5000  2 S 2.57, 2 Cu 2.73
Ag  0.5178  0.0000  0.5000  2 S 2.57, 2 Cu 2.73
S  0.0000  0.6876  0.0000  4 Cu 2.23-2.49
S  0.3124  0.3124  0.0000  4 Cu 2.23-2.49
S  0.6876  0.0000  0.0000  4 Cu 2.23-2.49

Calculated values
**Calculated volume**: 204.3 Å³/cell
**Density of states at the Fermi level**: 0.40 states/eV per atom
**Raw formation energy**: 0.16 eV per atom

---

The following is a PBE calculation of an optimized crystal structure of MnBeSe2, from the Alexandria database.

a = 3.6490 Å, b = 3.6490 Å, c = 5.1589 Å
α = 90.00°, β = 90.00°, γ = 90.00°
Last column: nearest neighbours and their distance in Å.
Atoms (fractional coordinates):
Mn  0.0000  0.0000  0.0000  6 Se 2.58
Be  0.5000  0.5000  0.5000  6 Se 2.58
Se  0.0000  0.0000  0.5000  2 Mn 2.58, 4 Be 2.58
Se  0.5000  0.5000  0.0000  2 Be 2.58, 4 Mn 2.58

Calculated values
**Calculated volume**: 68.7 Å³/cell
**Density of states at the Fermi level**: 0.37 states/eV per atom
**Raw formation energy**: -0.24 eV per atom

---

The following is a PBE calculation of an optimized crystal structure of CaGeBi, from the Alexandria database.

a = 4.9495 Å, b = 4.9495 Å, c = 4.1987 Å
α = 90.00°, β = 90.00°, γ = 120.00°
Last column: nearest neighbours and their distance in Å.
Atoms (fractional coordinates):
Ca  0.0000  0.0000  0.0000  6 Ge 3.54-3.55, 6 Bi 3.55
Ge  0.3333  0.6667  0.4988  3 Bi 2.86
Bi  0.6667  0.3333  0.5003  3 Ge 2.86

Calculated values
**ΔH_f (0 K)**: -0.30 eV/atom
**Energy above the most stable polymorph in this dataset**: 140 meV per atom
**Calculated volume**: 89.1 Å³/cell
**Density of states at the Fermi level**: 0.57 states/eV per atom

---

The following is a PBE calculation of an optimized crystal structure of PmSm2Te4, from the Alexandria database.

a = 8.6478 Å, b = 8.6478 Å, c = 7.7310 Å
α = 116.06°, β = 116.06°, γ = 29.76°
Last column: nearest neighbours and their distance in Å.
Atoms (fractional coordinates):
Pm  0.0000  0.0000  0.0000  6 Te 3.14-3.19
Sm  0.2574  0.2574  0.2689  6 Te 3.11-3.21
Sm  0.7426  0.7426  0.7311  6 Te 3.11-3.21
Te  0.1225  0.1225  0.4516  3 Sm 3.11-3.16, 1 Pm 3.14
Te  0.3697  0.3697  0.0282  2 Pm 3.19, 3 Sm 3.19-3.21
Te  0.6303  0.6303  0.9718  2 Pm 3.19, 3 Sm 3.19-3.21
Te  0.8775  0.8775  0.5484  3 Sm 3.11-3.16, 1 Pm 3.14

Calculated values
**Energy above the most stable polymorph in this dataset**: 0 meV per atom
**Calculated volume**: 255.6 Å³/cell
**Density of states at the Fermi level**: 0.46 states/eV per atom
**Raw formation energy**: -1.41 eV per atom

---

The following is a PBE calculation of an optimized crystal structure of ScZn2Co, from the Alexandria database.

a = 3.8234 Å, b = 5.4547 Å, c = 5.4547 Å
α = 33.32°, β = 90.00°, γ = 90.00°
Last column: nearest neighbours and their distance in Å.
Atoms (fractional coordinates):
Sc  0.0000  0.0000  0.0000  4 Co 2.63, 3 Zn 2.80-2.89
Zn  0.0000  0.2680  0.2680  2 Co 2.44, 4 Zn 2.67
Zn  0.5000  0.6705  0.6705  4 Zn 2.67, 3 Co 2.69-2.98
Co  0.5000  0.4127  0.4127  3 Zn 2.44-2.69, 4 Sc 2.63

Calculated values
**ΔH_f (0 K)**: -0.14 eV/atom
**Calculated volume**: 62.5 Å³/cell
**Density of states at the Fermi level**: 0.52 states/eV per atom

---

The following is a PBE calculation of an optimized crystal structure of SrCa2MgCo, from the Alexandria database.

a = 5.4371 Å, b = 5.4371 Å, c = 5.2815 Å
α = 90.00°, β = 90.00°, γ = 90.00°
Last column: nearest neighbours and their distance in Å.
Atoms (fractional coordinates):
Sr  0.0000  0.0000  0.0000  8 Ca 3.79, 4 Mg 3.84
Ca  0.0000  0.5000  0.5000  2 Co 2.72
Ca  0.5000  0.0000  0.5000  2 Co 2.72
Mg  0.5000  0.5000  0.0000  2 Co 2.64
Co  0.5000  0.5000  0.5000  2 Mg 2.64, 4 Ca 2.72

Calculated values
**ΔH_f (0 K)**: 0.14 eV/atom
**Calculated volume**: 156.1 Å³/cell
**Density of states at the Fermi level**: 0.61 states/eV per atom

---

The following is a PBE calculation of an optimized crystal structure of Rb2LaNpS4, from the Alexandria database.

a = 7.3510 Å, b = 4.2315 Å, c = 8.0644 Å
α = 90.00°, β = 107.73°, γ = 90.00°
Last column: nearest neighbours and their distance in Å.
Atoms (fractional coordinates):
Rb  0.0000  0.0000  0.0000  6 S 3.42-3.43
Rb  0.5000  0.5000  0.0000  6 S 3.35-3.36
La  0.0000  0.5000  0.5000  6 S 2.90-2.92
Np  0.5000  0.0000  0.5000  6 S 2.82-2.83
S  0.2402  0.0000  0.6972  1 Np 2.83, 2 La 2.90
S  0.2788  0.5000  0.3083  2 Np 2.82, 1 La 2.92
S  0.7212  0.5000  0.6917  2 Np 2.82, 1 La 2.92
S  0.7598  0.0000  0.3028  1 Np 2.83, 2 La 2.90

Calculated values
**Calculated volume**: 238.9 Å³/cell
**Density of states at the Fermi level**: 0.95 states/eV per atom
**Raw formation energy**: -1.62 eV per atom

---

The following is a PBE calculation of an optimized crystal structure of AcSm3Dy3, from the Alexandria database.

a = 9.7639 Å, b = 9.7639 Å, c = 5.8458 Å
α = 90.00°, β = 90.00°, γ = 120.00°
Last column: nearest neighbours and their distance in Å.
Atoms (fractional coordinates):
Ac  0.3333  0.6667  0.2500  9 Sm 3.63-3.69, 3 Dy 3.76
Ac  0.6667  0.3333  0.7500  9 Sm 3.63-3.69, 3 Dy 3.76
Sm  0.0943  0.4713  0.7500  5 Dy 3.63-3.77, 3 Ac 3.63-3.69, 4 Sm 3.64-3.73
Sm  0.3770  0.9057  0.7500  5 Dy 3.63-3.77, 3 Ac 3.63-3.69, 4 Sm 3.64-3.73
Sm  0.4713  0.3770  0.2500  5 Dy 3.63-3.77, 3 Ac 3.63-3.69, 4 Sm 3.64-3.73
Sm  0.5287  0.6230  0.7500  5 Dy 3.63-3.77, 3 Ac 3.63-3.69, 4 Sm 3.64-3.73
Sm  0.6230  0.0943  0.2500  5 Dy 3.63-3.77, 3 Ac 3.63-3.69, 4 Sm 3.64-3.73
Sm  0.9057  0.5287  0.2500  5 Dy 3.63-3.77, 3 Ac 3.63-3.69, 4 Sm 3.64-3.73
Dy  0.0435  0.2304  0.2500  6 Dy 3.58, 5 Sm 3.63-3.77, 1 Ac 3.76
Dy  0.1869  0.9565  0.2500  6 Dy 3.58, 5 Sm 3.63-3.77, 1 Ac 3.76
Dy  0.2304  0.1869  0.7500  6 Dy 3.58, 5 Sm 3.63-3.77, 1 Ac 3.76
Dy  0.7696  0.8131  0.2500  6 Dy 3.58, 5 Sm 3.63-3.77, 1 Ac 3.76
Dy  0.8131  0.0435  0.7500  6 Dy 3.58, 5 Sm 3.63-3.77, 1 Ac 3.76
Dy  0.9565  0.7696  0.7500  6 Dy 3.58, 5 Sm 3.63-3.77, 1 Ac 3.76

Calculated values
**ΔH_f (0 K)**: 0.04 eV/atom
**Energy above the most stable polymorph in this dataset**: 0 meV per atom
**Calculated volume**: 482.6 Å³/cell
**Density of states at the Fermi level**: 1.70 states/eV per atom

---

Uncorrected energy for every record listed, in sequence, given in eV/atom: -3.605; -5.205; -3.796; -5.235; -4.139; -2.741; -6.154; -4.543.